Record 1
DFT (GGA-PBE) results for AcZrBe after structural relaxation.

abc: 4.8914 4.8914 4.8914
angles: 60.00 60.00 60.00
Closest atoms and distances in Å follow each position.
Positions (direct):
Zr 0.7500 0.7500 0.7500  4 Ac 3.00
Ac 0.0000 0.0000 0.0000  4 Zr 3.00, 4 Be 3.00
Be 0.2500 0.2500 0.2500  4 Ac 3.00

Results
- uncorrected energy (eV per atom) = -4.0541
- magnetic moment (μB/atom) = 0.29

---

Record 2
DFT (GGA-PBE) results for AcCdBi after structural relaxation.

abc: 5.5285 5.5285 5.5285
angles: 60.00 60.00 60.00
Closest atoms and distances in Å follow each position.
Positions (direct):
Bi 0.2500 0.2500 0.2500  4 Ac 3.39
Cd 0.7500 0.7500 0.7500  4 Ac 3.39
Ac 0.0000 0.0000 0.0000  4 Cd 3.39, 4 Bi 3.39

Results
- uncorrected energy (eV per atom) = -3.3604
- magnetic moment (μB/atom) = 0.00

---

Record 3
DFT (GGA-PBE) results for Ac2CdBi4 after structural relaxation.

abc: 4.7303 4.7303 10.9330
angles: 90.00 90.00 90.00
Closest atoms and distances in Å follow each position.
Positions (direct):
Bi 0.0000 0.5000 0.8327  2 Cd 2.99
Bi 0.0000 0.0000 0.5000  4 Bi 3.34, 4 Ac 3.61
Bi 0.5000 0.0000 0.1673  2 Cd 2.99
Bi 0.5000 0.5000 0.5000  4 Bi 3.34, 4 Ac 3.61
Ac 0.0000 0.5000 0.2508  8 Bi 3.47-3.61, 2 Cd 3.62
Ac 0.5000 0.0000 0.7492  8 Bi 3.47-3.61, 2 Cd 3.62
Cd 0.5000 0.5000 0.0000  4 Bi 2.99

Results
- uncorrected energy (eV per atom) = -4.2149
- magnetic moment (μB/atom) = 0.00

---

Record 4
DFT (GGA-PBE) results for AcCdBi after structural relaxation.

abc: 5.3158 5.3158 5.3158
angles: 60.00 60.00 60.00
Closest atoms and distances in Å follow each position.
Positions (direct):
Bi 0.7500 0.7500 0.7500  4 Cd 3.26
Ac 0.2500 0.2500 0.2500  4 Cd 3.26
Cd 0.0000 0.0000 0.0000  4 Bi 3.26, 4 Ac 3.26

Results
- uncorrected energy (eV per atom) = -3.3564
- magnetic moment (μB/atom) = 0.00

---

Record 5
DFT (GGA-PBE) results for AcCuBi after structural relaxation.

abc: 5.3429 5.3429 5.3429
angles: 60.00 60.00 60.00
Closest atoms and distances in Å follow each position.
Positions (direct):
Bi 0.2500 0.2500 0.2500  4 Ac 3.27
Cu 0.7500 0.7500 0.7500  4 Ac 3.27
Ac 0.0000 0.0000 0.0000  4 Bi 3.27, 4 Cu 3.27

Results
- uncorrected energy (eV per atom) = -3.9462
- magnetic moment (μB/atom) = 0.00

---

Record 6
DFT (GGA-PBE) results for AcDyBi after structural relaxation.

abc: 5.4341 5.4341 5.4341
angles: 60.00 60.00 60.00
Closest atoms and distances in Å follow each position.
Positions (direct):
Bi 0.0000 0.0000 0.0000  4 Dy 3.33, 4 Ac 3.33
Dy 0.7500 0.7500 0.7500  4 Bi 3.33
Ac 0.2500 0.2500 0.2500  4 Bi 3.33

Results
- uncorrected energy (eV per atom) = -4.5326
- magnetic moment (μB/atom) = 0.02

---

Record 7
DFT (GGA-PBE) results for AcDyBi after structural relaxation.

abc: 5.6344 5.6344 5.6344
angles: 60.00 60.00 60.00
Closest atoms and distances in Å follow each position.
Positions (direct):
Bi 0.2500 0.2500 0.2500  4 Ac 3.45
Dy 0.7500 0.7500 0.7500  4 Ac 3.45
Ac 0.0000 0.0000 0.0000  4 Bi 3.45, 4 Dy 3.45

Results
- uncorrected energy (eV per atom) = -3.9217
- magnetic moment (μB/atom) = 0.19

---

Record 8
DFT (GGA-PBE) results for AcGdBi after structural relaxation.

abc: 9.2662 9.2662 9.2662
angles: 33.94 33.94 33.94
Closest atoms and distances in Å follow each position.
Positions (direct):
Gd 0.1337 0.1337 0.1337  3 Bi 3.29, 3 Gd 3.57
Gd 0.8663 0.8663 0.8663  3 Bi 3.29, 3 Gd 3.57
Ac 0.7123 0.7123 0.7123  4 Bi 3.37-3.65
Ac 0.2877 0.2877 0.2877  4 Bi 3.37-3.65
Bi 0.4270 0.4270 0.4270  3 Gd 3.29, 4 Ac 3.37-3.65
Bi 0.5730 0.5730 0.5730  3 Gd 3.29, 4 Ac 3.37-3.65

Results
- uncorrected energy (eV per atom) = -4.5953
- magnetic moment (μB/atom) = 0.02

---

Record 9
DFT (GGA-PBE) results for AcGdBi after structural relaxation.

abc: 5.4516 5.4516 5.4516
angles: 60.00 60.00 60.00
Closest atoms and distances in Å follow each position.
Positions (direct):
Ac 0.2500 0.2500 0.2500  4 Bi 3.34
Gd 0.7500 0.7500 0.7500  4 Bi 3.34
Bi 0.0000 0.0000 0.0000  4 Gd 3.34, 4 Ac 3.34

Results
- uncorrected energy (eV per atom) = -4.5919
- magnetic moment (μB/atom) = 0.01

---

Record 10
DFT (GGA-PBE) results for AcHfBi3 after structural relaxation.

abc: 14.3590 6.7825 6.6077
angles: 90.00 90.00 90.00
Closest atoms and distances in Å follow each position.
Positions (direct):
Bi 0.7270 0.5162 0.7500  2 Hf 3.04
Bi 0.0026 0.2500 0.5000  4 Bi 3.30-3.39, 4 Ac 3.57
Bi 0.0026 0.2500 0.0000  4 Bi 3.30-3.39, 4 Ac 3.57
Bi 0.9974 0.7500 0.0000  4 Bi 3.30-3.39, 4 Ac 3.57
Bi 0.2730 0.0162 0.7500  2 Hf 3.04
Bi 0.7270 0.9838 0.2500  2 Hf 3.04
Bi 0.9974 0.7500 0.5000  4 Bi 3.30-3.39, 4 Ac 3.57
Bi 0.4259 0.6124 0.7500  4 Hf 2.97-3.00
Bi 0.2730 0.4838 0.2500  2 Hf 3.04
Bi 0.5741 0.3876 0.2500  4 Hf 2.97-3.00
Bi 0.5741 0.1124 0.7500  4 Hf 2.97-3.00
Bi 0.4259 0.8876 0.2500  4 Hf 2.97-3.00
Ac 0.8141 0.4911 0.2500  9 Bi 3.52-3.66
Ac 0.1859 0.9911 0.2500  9 Bi 3.52-3.66
Ac 0.8141 0.0089 0.7500  9 Bi 3.52-3.66
Ac 0.1859 0.5089 0.7500  9 Bi 3.52-3.66
Hf 0.4124 0.2500 0.5000  6 Bi 2.97-3.04, 2 Hf 3.30
Hf 0.5876 0.7500 0.0000  6 Bi 2.97-3.04, 2 Hf 3.30
Hf 0.4124 0.2500 0.0000  6 Bi 2.97-3.04, 2 Hf 3.30
Hf 0.5876 0.7500 0.5000  6 Bi 2.97-3.04, 2 Hf 3.30

Results
- uncorrected energy (eV per atom) = -5.7447
- magnetic moment (μB/atom) = 0.00

---

Record 11
DFT (GGA-PBE) results for AcHfBi after structural relaxation.

abc: 5.5022 5.5022 5.5022
angles: 60.00 60.00 60.00
Closest atoms and distances in Å follow each position.
Positions (direct):
Bi 0.2500 0.2500 0.2500  4 Ac 3.37
Hf 0.7500 0.7500 0.7500  4 Ac 3.37
Ac 0.0000 0.0000 0.0000  4 Bi 3.37, 4 Hf 3.37

Results
- uncorrected energy (eV per atom) = -5.2041
- magnetic moment (μB/atom) = 0.68

---

Record 12
DFT (GGA-PBE) results for AcHfBi after structural relaxation.

abc: 5.2936 5.2936 5.2936
angles: 60.00 60.00 60.00
Closest atoms and distances in Å follow each position.
Positions (direct):
Bi 0.0000 0.0000 0.0000  4 Ac 3.24, 4 Hf 3.24
Ac 0.2500 0.2500 0.2500  4 Bi 3.24
Hf 0.7500 0.7500 0.7500  4 Bi 3.24

Results
- uncorrected energy (eV per atom) = -5.7496
- magnetic moment (μB/atom) = 0.49

---

Record 13
DFT (GGA-PBE) results for Ac2HgBi after structural relaxation.

abc: 6.5828 6.5828 6.5849
angles: 90.00 90.00 83.55
Closest atoms and distances in Å follow each position.
Positions (direct):
Bi 0.8432 0.1568 0.2500  4 Ac 3.35-3.38, 2 Hg 3.43
Bi 0.1568 0.8432 0.7500  4 Ac 3.35-3.38, 2 Hg 3.43
Ac 0.0513 0.3576 0.7500  2 Bi 3.35-3.38, 2 Hg 3.60
Ac 0.9487 0.6424 0.2500  2 Bi 3.35-3.38, 2 Hg 3.60
Ac 0.6424 0.9487 0.7500  2 Bi 3.35-3.38, 2 Hg 3.60
Ac 0.3576 0.0513 0.2500  2 Bi 3.35-3.38, 2 Hg 3.60
Hg 0.5000 0.5000 0.5000  2 Hg 3.29, 2 Bi 3.43, 4 Ac 3.60
Hg 0.5000 0.5000 0.0000  2 Hg 3.29, 2 Bi 3.43, 4 Ac 3.60

Results
- uncorrected energy (eV per atom) = -3.6199
- magnetic moment (μB/atom) = 0.02

---

Record 14
DFT (GGA-PBE) results for AcHgBi after structural relaxation.

abc: 5.3465 5.3465 5.3465
angles: 60.00 60.00 60.00
Closest atoms and distances in Å follow each position.
Positions (direct):
Ac 0.2500 0.2500 0.2500  4 Hg 3.27
Bi 0.7500 0.7500 0.7500  4 Hg 3.27
Hg 0.0000 0.0000 0.0000  4 Bi 3.27, 4 Ac 3.27

Results
- uncorrected energy (eV per atom) = -3.3126
- magnetic moment (μB/atom) = 0.00

---

Record 15
DFT (GGA-PBE) results for AcHgBi2 after structural relaxation.

abc: 4.9357 4.9357 5.1911
angles: 90.00 90.00 90.00
Closest atoms and distances in Å follow each position.
Positions (direct):
Ac 0.5000 0.5000 0.5000  4 Hg 3.49, 8 Bi 3.58
Bi 0.5000 0.0000 0.0000  4 Bi 3.49, 4 Hg 3.58, 4 Ac 3.58
Bi 0.0000 0.5000 0.0000  4 Bi 3.49, 4 Hg 3.58, 4 Ac 3.58
Hg 0.0000 0.0000 0.5000  4 Ac 3.49, 8 Bi 3.58

Results
- uncorrected energy (eV per atom) = -3.6604
- magnetic moment (μB/atom) = 0.00

---

Record 16
DFT (GGA-PBE) results for AcHoBi after structural relaxation.

abc: 5.4263 5.4263 5.4263
angles: 60.00 60.00 60.00
Closest atoms and distances in Å follow each position.
Positions (direct):
Ho 0.7500 0.7500 0.7500  4 Bi 3.32
Ac 0.2500 0.2500 0.2500  4 Bi 3.32
Bi 0.0000 0.0000 0.0000  4 Ac 3.32, 4 Ho 3.32

Results
- uncorrected energy (eV per atom) = -4.5030
- magnetic moment (μB/atom) = 0.02

---

Record 17
DFT (GGA-PBE) results for AcHoBi after structural relaxation.

abc: 5.6327 5.6327 5.6327
angles: 60.00 60.00 60.00
Closest atoms and distances in Å follow each position.
Positions (direct):
Ac 0.0000 0.0000 0.0000  4 Ho 3.45, 4 Bi 3.45
Bi 0.2500 0.2500 0.2500  4 Ac 3.45
Ho 0.7500 0.7500 0.7500  4 Ac 3.45

Results
- uncorrected energy (eV per atom) = -3.9167
- magnetic moment (μB/atom) = 0.19

---

Record 18
DFT (GGA-PBE) results for AcBiIr after structural relaxation.

abc: 5.0025 5.0025 5.0025
angles: 60.00 60.00 60.00
Closest atoms and distances in Å follow each position.
Positions (direct):
Bi 0.2500 0.2500 0.2500  4 Ir 3.06
Ir 0.0000 0.0000 0.0000  4 Ac 3.06, 4 Bi 3.06
Ac 0.7500 0.7500 0.7500  4 Ir 3.06

Results
- uncorrected energy (eV per atom) = -6.1306
- magnetic moment (μB/atom) = 0.08

---

Record 19
DFT (GGA-PBE) results for AcBiMo after structural relaxation.

abc: 4.9649 4.9649 4.9649
angles: 60.00 60.00 60.00
Closest atoms and distances in Å follow each position.
Positions (direct):
Ac 0.2500 0.2500 0.2500  4 Mo 3.04
Bi 0.7500 0.7500 0.7500  4 Mo 3.04
Mo 0.0000 0.0000 0.0000  4 Bi 3.04, 4 Ac 3.04

Results
- uncorrected energy (eV per atom) = -5.8951
- magnetic moment (μB/atom) = 0.00

---

Record 20
DFT (GGA-PBE) results for AcBiMo after structural relaxation.

abc: 5.4539 5.4539 5.4539
angles: 60.00 60.00 60.00
Closest atoms and distances in Å follow each position.
Positions (direct):
Ac 0.0000 0.0000 0.0000  4 Mo 3.34, 4 Bi 3.34
Mo 0.7500 0.7500 0.7500  4 Ac 3.34
Bi 0.2500 0.2500 0.2500  4 Ac 3.34

Results
- uncorrected energy (eV per atom) = -5.2202
- magnetic moment (μB/atom) = 1.61

---

Record 21
DFT (GGA-PBE) results for AcPaBi after structural relaxation.

abc: 5.5070 5.5070 5.5070
angles: 60.00 60.00 60.00
Closest atoms and distances in Å follow each position.
Positions (direct):
Pa 0.7500 0.7500 0.7500  4 Ac 3.37
Bi 0.2500 0.2500 0.2500  4 Ac 3.37
Ac 0.0000 0.0000 0.0000  4 Pa 3.37, 4 Bi 3.37

Results
- uncorrected energy (eV per atom) = -5.0006
- magnetic moment (μB/atom) = 1.29

---

Record 22
DFT (GGA-PBE) results for AcBiPd after structural relaxation.

abc: 5.0424 5.0424 5.0424
angles: 60.00 60.00 60.00
Closest atoms and distances in Å follow each position.
Positions (direct):
Bi 0.7500 0.7500 0.7500  4 Pd 3.09
Pd 0.0000 0.0000 0.0000  4 Bi 3.09, 4 Ac 3.09
Ac 0.2500 0.2500 0.2500  4 Pd 3.09

Results
- uncorrected energy (eV per atom) = -5.3746
- magnetic moment (μB/atom) = 0.00

---

Record 23
DFT (GGA-PBE) results for Ac3Bi4Pd3 after structural relaxation.

abc: 9.0649 9.0649 9.0649
angles: 109.47 109.47 109.47
Closest atoms and distances in Å follow each position.
Positions (direct):
Pd 0.6250 0.3750 0.2500  4 Bi 2.92, 4 Ac 3.20
Pd 0.2500 0.6250 0.3750  4 Bi 2.92, 4 Ac 3.20
Pd 0.3750 0.2500 0.6250  4 Bi 2.92, 4 Ac 3.20
Pd 0.1250 0.7500 0.8750  4 Bi 2.92, 4 Ac 3.20
Pd 0.7500 0.8750 0.1250  4 Bi 2.92, 4 Ac 3.20
Pd 0.8750 0.1250 0.7500  4 Bi 2.92, 4 Ac 3.20
Bi 0.6647 0.5000 0.0000  3 Pd 2.92
Bi 0.5000 0.0000 0.1647  3 Pd 2.92
Bi 0.8353 0.8353 0.8353  3 Pd 2.92
Bi 0.3353 0.3353 0.3353  3 Pd 2.92
Bi 0.5000 0.0000 0.6647  3 Pd 2.92
Bi 0.0000 0.6647 0.5000  3 Pd 2.92
Bi 0.0000 0.1647 0.5000  3 Pd 2.92
Bi 0.1647 0.5000 0.0000  3 Pd 2.92
Ac 0.7500 0.3750 0.6250  4 Pd 3.20
Ac 0.8750 0.2500 0.1250  4 Pd 3.20
Ac 0.6250 0.7500 0.3750  4 Pd 3.20
Ac 0.1250 0.8750 0.2500  4 Pd 3.20
Ac 0.2500 0.1250 0.8750  4 Pd 3.20
Ac 0.3750 0.6250 0.7500  4 Pd 3.20

Results
- uncorrected energy (eV per atom) = -5.2550
- magnetic moment (μB/atom) = 0.00

---

Record 24
DFT (GGA-PBE) results for AcPm2Bi6 after structural relaxation.

abc: 5.9234 12.3024 6.0175
angles: 90.00 90.00 90.00
Closest atoms and distances in Å follow each position.
Positions (direct):
Ac 0.0000 0.0000 0.0000  8 Bi 3.51-3.53
Bi 0.0000 0.8538 0.5000  2 Pm 3.24, 3 Bi 3.47-3.60, 2 Ac 3.51
Bi 0.5000 0.5000 0.5001  2 Pm 3.04
Bi 0.5000 0.0000 0.5000  2 Pm 3.11, 4 Bi 3.47
Bi 0.5000 0.8439 0.0000  2 Pm 3.24, 2 Ac 3.53, 2 Bi 3.57
Bi 0.5000 0.1561 0.0000  2 Pm 3.24, 2 Ac 3.53, 2 Bi 3.57
Bi 0.0000 0.1462 0.5000  2 Pm 3.24, 3 Bi 3.47-3.60, 2 Ac 3.51
Pm 0.5000 0.7469 0.5000  6 Bi 3.04-3.24
Pm 0.5000 0.2531 0.5000  6 Bi 3.04-3.24

Results
- uncorrected energy (eV per atom) = -4.3025
- magnetic moment (μB/atom) = 0.09

---

Record 25
DFT (GGA-PBE) results for AcPrBi after structural relaxation.

abc: 5.5197 5.5197 5.5197
angles: 60.00 60.00 60.00
Closest atoms and distances in Å follow each position.
Positions (direct):
Ac 0.2500 0.2500 0.2500  4 Bi 3.38
Pr 0.7500 0.7500 0.7500  4 Bi 3.38
Bi 0.0000 0.0000 0.0000  4 Pr 3.38, 4 Ac 3.38

Results
- uncorrected energy (eV per atom) = -4.7240
- magnetic moment (μB/atom) = 0.01

---

Record 26
DFT (GGA-PBE) results for AcBiPt after structural relaxation.

abc: 5.0520 5.0520 5.0520
angles: 60.00 60.00 60.00
Closest atoms and distances in Å follow each position.
Positions (direct):
Ac 0.2500 0.2500 0.2500  4 Pt 3.09
Pt 0.0000 0.0000 0.0000  4 Bi 3.09, 4 Ac 3.09
Bi 0.7500 0.7500 0.7500  4 Pt 3.09

Results
- uncorrected energy (eV per atom) = -5.7000
- magnetic moment (μB/atom) = 0.00

---

Record 27
DFT (GGA-PBE) results for AcBiPt after structural relaxation.

abc: 5.2659 5.2659 5.2659
angles: 60.00 60.00 60.00
Closest atoms and distances in Å follow each position.
Positions (direct):
Pt 0.7500 0.7500 0.7500  4 Ac 3.22
Bi 0.2500 0.2500 0.2500  4 Ac 3.22
Ac 0.0000 0.0000 0.0000  4 Pt 3.22, 4 Bi 3.22

Results
- uncorrected energy (eV per atom) = -4.8935
- magnetic moment (μB/atom) = 0.00

---

Record 28
DFT (GGA-PBE) results for Ac2Bi2Pt after structural relaxation.

abc: 5.9530 5.9530 5.8990
angles: 90.00 90.00 90.00
Closest atoms and distances in Å follow each position.
Positions (direct):
Pt 0.0000 0.0000 0.0000  8 Ac 4.19, 8 Bi 4.44
Ac 0.5000 0.0000 0.5000  4 Bi 3.35
Ac 0.0000 0.5000 0.5000  4 Bi 3.35
Bi 0.5000 0.5000 0.2393  2 Bi 2.82-3.08
Bi 0.5000 0.5000 0.7607  2 Bi 2.82-3.08

Results
- uncorrected energy (eV per atom) = -4.2425
- magnetic moment (μB/atom) = 0.00